<P>
The following is a GGA-PBE calculation of crystalline LaBeIn at its relaxed geometry, from the Alexandria database.

Output
- M_tot (μB per cell) = 0.0
- Fermi-level density of states (states/eV per cell) = 4.740

Lattice parameters (Å, degrees): 7.803 6.974 3.898 55.99 60.01 60.51
Fractional positions:
Be: 0.905 0.956 0.373
Be: 0.898 0.784 0.053
La: 0.632 0.310 0.792
La: 0.178 0.092 0.464
In: 0.602 0.806 0.826
In: 0.201 0.581 0.452

=====

<Q>
The following is a GGA-PBE calculation of crystalline LaBeIn at its relaxed geometry, from the Alexandria database.

Output
- M_tot (μB per cell) = 0.0
- Fermi-level density of states (states/eV per cell) = 8.299

Lattice parameters (Å, degrees): 3.981 6.079 6.810 83.12 89.98 70.72
Fractional positions:
Be: 0.571 0.418 0.712
Be: 0.043 0.475 0.827
La: 0.630 0.304 0.156
La: 0.288 0.984 0.682
In: 0.891 0.776 0.059
In: 0.994 0.573 0.470

=====

<R>
The following is a GGA-PBE calculation of crystalline LaBeIn at its relaxed geometry, from the Alexandria database.

Output
- M_tot (μB per cell) = 0.0
- Fermi-level density of states (states/eV per cell) = 6.176

Lattice parameters (Å, degrees): 4.437 6.360 6.359 62.82 69.58 69.58
Fractional positions:
Be: 0.361 0.156 0.734
Be: 0.861 0.156 0.735
La: 0.362 0.156 0.234
La: 0.861 0.657 0.734
In: 0.112 0.807 0.083
In: 0.611 0.504 0.386

=====

Winner for stability: <R>

=====

<P>
The following is a GGA-PBE calculation of crystalline LaBeIn at its relaxed geometry, from the Alexandria database.

Output
- M_tot (μB per cell) = 0.0
- Fermi-level density of states (states/eV per cell) = 0.853

Lattice parameters (Å, degrees): 4.715 4.715 4.715 60.00 60.00 60.00
Fractional positions:
Be: 0.250 0.250 0.250
In: 0.000 0.000 0.000
La: 0.500 0.500 0.500

=====

<Q>
The following is a GGA-PBE calculation of crystalline LaBeIn at its relaxed geometry, from the Alexandria database.

Output
- M_tot (μB per cell) = 0.0
- Fermi-level density of states (states/eV per cell) = 1.460

Lattice parameters (Å, degrees): 5.032 5.032 5.032 60.00 60.00 60.00
Fractional positions:
Be: 0.750 0.750 0.750
In: 0.250 0.250 0.250
La: 0.500 0.500 0.500

=====

Winner for stability: <P>